*i*
Density functional theory data (PBE) for crystalline SnSbN at its relaxed geometry.

Structure (CIF):
```
data_SnSbN
_cell_length_a 3.285
_cell_length_b 5.840
_cell_length_c 10.870
_cell_angle_alpha 103.19
_cell_angle_beta 91.99
_cell_angle_gamma 90.02
_symmetry_space_group_name_H-M 'P 1'
_symmetry_Int_Tables_number 1
_symmetry_space_group_name_Hall 'P 1'
loop_
_atom_site_label
_atom_site_type_symbol
_atom_site_fract_x
_atom_site_fract_y
_atom_site_fract_z
Sn1 Sn 0.000 0.000 0.000
Sn2 Sn 0.483 0.892 0.750
Sb1 Sb 0.866 0.423 0.822
Sb2 Sb 0.932 0.539 0.092
N1 N 0.474 0.115 0.385
N2 N 0.491 0.310 0.415
```

DOS at the Fermi energy (states/eV/atom): 0.231

***

*ii*
Density functional theory data (PBE) for crystalline SnSbN at its relaxed geometry.

Structure (CIF):
```
data_SnSbN
_cell_length_a 4.283
_cell_length_b 6.169
_cell_length_c 9.834
_cell_angle_alpha 86.55
_cell_angle_beta 77.76
_cell_angle_gamma 71.58
_symmetry_space_group_name_H-M 'P -1'
_symmetry_Int_Tables_number 2
_symmetry_space_group_name_Hall '-P 1'
loop_
_atom_site_label
_atom_site_type_symbol
_atom_site_fract_x
_atom_site_fract_y
_atom_site_fract_z
Sn1 Sn 0.124 0.200 0.088
Sb1 Sb 0.326 0.675 0.118
N1 N 0.443 0.091 0.486
```

DOS at the Fermi energy (states/eV/atom): 0.058

***

*iii*
Density functional theory data (PBE) for crystalline SnSbN at its relaxed geometry.

Structure (CIF):
```
data_SnSbN
_cell_length_a 19.837
_cell_length_b 4.132
_cell_length_c 5.597
_cell_angle_alpha 90.00
_cell_angle_beta 104.90
_cell_angle_gamma 90.00
_symmetry_space_group_name_H-M 'C 1 m 1'
_symmetry_Int_Tables_number 8
_symmetry_space_group_name_Hall 'C -2y'
loop_
_atom_site_label
_atom_site_type_symbol
_atom_site_fract_x
_atom_site_fract_y
_atom_site_fract_z
Sn1 Sn 0.000 0.000 0.000
Sn2 Sn 0.073 0.000 0.567
Sb1 Sb 0.391 0.000 0.900
Sb2 Sb 0.459 0.000 0.462
N1 N 0.224 0.500 0.121
N2 N 0.237 0.500 0.327
```

DOS at the Fermi energy (states/eV/atom): 0.183

***

*iv*
Density functional theory data (PBE) for crystalline SnSbN at its relaxed geometry.

Structure (CIF):
```
data_SnSbN
_cell_length_a 5.857
_cell_length_b 3.342
_cell_length_c 6.583
_cell_angle_alpha 90.00
_cell_angle_beta 93.81
_cell_angle_gamma 90.00
_symmetry_space_group_name_H-M 'C 1 m 1'
_symmetry_Int_Tables_number 8
_symmetry_space_group_name_Hall 'C -2y'
loop_
_atom_site_label
_atom_site_type_symbol
_atom_site_fract_x
_atom_site_fract_y
_atom_site_fract_z
Sn1 Sn 0.000 0.000 0.000
Sb1 Sb 0.130 0.500 0.506
N1 N 0.156 0.500 0.829
```

DOS at the Fermi energy (states/eV/atom): 0.256

***

*i* wins, 10 meV per atom ahead of the next structure.